# Mn2CdBr

A geometry-optimized Mn2CdBr structure (PBE-GGA, Alexandria).

```
data_Mn2CdBr
_chemical_formula_sum 'Mn4 Cd2 Br2'
_symmetry_space_group_name_H-M 'I m m 2'
_symmetry_Int_Tables_number 44
_symmetry_space_group_name_Hall 'I 2 -2'
_cell_length_a 3.1559
_cell_length_b 4.5904
_cell_length_c 11.9847
_cell_angle_alpha 90.00
_cell_angle_beta 90.00
_cell_angle_gamma 90.00
loop_
_atom_site_label
_atom_site_fract_x
_atom_site_fract_y
_atom_site_fract_z
_atom_site_occupancy
Mn1 0.0000 0.0000 0.0000 1
Mn2 0.0000 0.5000 0.3143 1
Cd1 0.0000 0.5000 0.8586 1
Br1 0.0000 0.0000 0.6307 1
```

Values from the calculation:
E_tot	-4.910	eV/atom
relative energy among the computed polymorphs	0.113	eV/atom
E_form (uncorrected)	0.3219	eV per atom
volume	21.7	A^3/atom